The following is a PBE+U calculation of an optimized crystal structure of Li2FeNi3O8, from Alexandria via LeMat-Bulk.

POSCAR file:
```
Li2FeNi3O8
1.0
-4.201 2.795 2.909
-5.507 -0.156 -1.891
-4.047 -2.986 2.937
Li Fe Ni O
2 1 3 8
Direct
0.883 0.883 0.883 Li
0.117 0.117 0.117 Li
0.500 0.500 0.500 Fe
0.500 0.000 0.500 Ni
0.000 0.500 0.500 Ni
0.500 0.500 0.000 Ni
0.739 0.739 0.739 O
0.744 0.744 0.292 O
0.292 0.744 0.744 O
0.744 0.292 0.744 O
0.256 0.708 0.256 O
0.708 0.256 0.256 O
0.256 0.256 0.708 O
0.261 0.261 0.261 O
```

The value obtained for the excess energy over the best structure of this formula in the dataset is 0.0 meV/atom.